(1)
Material: La2TbEr5Tm
Method: DFT, PBE
State: relaxed

The space group is Cmc2_1 (No. 36) and the conventional cell measures 5.619, 19.780 and 10.701 Å, with angles of 90.00, 90.00 and 90.00 degrees. The inequivalent atoms are La at (0.000, 0.112, 0.000), La at (0.000, 0.116, 0.586), Tb at (0.000, 0.201, 0.277), Er at (0.000, 0.017, 0.292), Er at (0.000, 0.282, 0.570), Er at (0.000, 0.300, 0.973), Er at (0.000, 0.391, 0.288), Er at (0.000, 0.480, 0.005) and Tm at (0.000, 0.413, 0.728).

The value obtained for the density of states at the Fermi level is 47.6 states/eV/cell. Its energy relative to the elements is 0.1389 eV per atom. For the magnetic moment, the calculation gives 0.00 μB/f.u. For the volume, the calculation gives 1189.3 Å³ per cell.

(2)
Material: La6TbEr2Tm
Method: DFT, PBE
State: relaxed

The space group is C2/c (No. 15) and the conventional cell measures 9.321, 15.430 and 9.771 Å, with angles of 90.00, 98.43 and 90.00 degrees. The inequivalent atoms are La at (0.065, 0.175, 0.448), La at (0.098, 0.394, 0.620), La at (0.218, 0.221, 0.806), Tb at (0.000, 0.026, 0.750), Er at (0.245, 0.047, 0.046) and Tm at (0.000, 0.413, 0.250).

The value obtained for the density of states at the Fermi level is 61.4 states/eV/cell. Its energy relative to the elements is 0.1098 eV per atom. For the magnetic moment, the calculation gives 0.00 μB/f.u. For the volume, the calculation gives 1390.2 Å³ per cell.

(3)
Material: La2TbEr2Tm2
Method: DFT, PBE
State: relaxed

The space group is C2/m (No. 12) and the conventional cell measures 11.739, 3.509 and 11.853 Å, with angles of 90.00, 108.93 and 90.00 degrees. The inequivalent atoms are La at (0.172, 0.000, 0.084), Tb at (0.000, 0.500, 0.500), Er at (0.227, 0.500, 0.367) and Tm at (0.048, 0.000, 0.767).

The value obtained for the density of states at the Fermi level is 22.6 states/eV/cell. Its energy relative to the elements is 0.0874 eV per atom. For the magnetic moment, the calculation gives 0.00 μB/f.u. For the volume, the calculation gives 461.9 Å³ per cell.

(4)
Material: La2TbErTm5
Method: DFT, PBE
State: relaxed

The space group is Cmc2_1 (No. 36) and the conventional cell measures 5.609, 19.676 and 10.703 Å, with angles of 90.00, 90.00 and 90.00 degrees. The inequivalent atoms are La at (0.000, 0.112, 0.000), La at (0.000, 0.115, 0.586), Tb at (0.000, 0.202, 0.277), Er at (0.000, 0.414, 0.728), Tm at (0.000, 0.017, 0.294), Tm at (0.000, 0.283, 0.570), Tm at (0.000, 0.300, 0.974), Tm at (0.000, 0.392, 0.288) and Tm at (0.000, 0.480, 0.005).

The value obtained for the density of states at the Fermi level is 46.8 states/eV/cell. Its energy relative to the elements is 0.1402 eV per atom. For the magnetic moment, the calculation gives 0.00 μB/f.u. For the volume, the calculation gives 1181.3 Å³ per cell.

(5)
Material: La6TbErTm2
Method: DFT, PBE
State: relaxed

The space group is C2/c (No. 15) and the conventional cell measures 9.324, 15.419 and 9.758 Å, with angles of 90.00, 98.31 and 90.00 degrees. The inequivalent atoms are La at (0.065, 0.174, 0.448), La at (0.097, 0.393, 0.620), La at (0.218, 0.221, 0.807), Tb at (0.000, 0.027, 0.750), Er at (0.000, 0.412, 0.250) and Tm at (0.245, 0.047, 0.047).

The value obtained for the density of states at the Fermi level is 61.4 states/eV/cell. Its energy relative to the elements is 0.1089 eV per atom. For the magnetic moment, the calculation gives 0.00 μB/f.u. For the volume, the calculation gives 1388.1 Å³ per cell.

(6)
Material: La3TbEr2Tm6
Method: DFT, PBE
State: relaxed

The space group is C2/m (No. 12) and the conventional cell measures 6.180, 10.702 and 11.731 Å, with angles of 90.00, 100.10 and 90.00 degrees. The inequivalent atoms are La at (0.000, 0.000, 0.000), La at (0.000, 0.333, 0.000), Tb at (0.000, 0.500, 0.500), Er at (0.000, 0.167, 0.500), Tm at (0.248, 0.000, 0.744) and Tm at (0.248, 0.333, 0.744).

The value obtained for the density of states at the Fermi level is 32.5 states/eV/cell. Its energy relative to the elements is 0.0280 eV per atom. For the magnetic moment, the calculation gives 0.00 μB/f.u. For the volume, the calculation gives 763.9 Å³ per cell.

(7)
Material: LaTb2Er2Tm2
Method: DFT, PBE
State: relaxed

The space group is C2/m (No. 12) and the conventional cell measures 11.450, 3.490 and 11.703 Å, with angles of 90.00, 101.37 and 90.00 degrees. The inequivalent atoms are La at (0.000, 0.000, 0.000), Tb at (0.155, 0.500, 0.574), Er at (0.095, 0.500, 0.273) and Tm at (0.204, 0.500, 0.870).

The value obtained for the density of states at the Fermi level is 24.0 states/eV/cell. Its energy relative to the elements is 0.1550 eV per atom. For the magnetic moment, the calculation gives 0.00 μB/f.u. For the volume, the calculation gives 458.5 Å³ per cell.

(8)
Material: LaTb2Er2Tm
Method: DFT, PBE
State: relaxed

The space group is Pnnm (No. 58) and the conventional cell measures 6.912, 16.083 and 3.522 Å, with angles of 90.00, 90.00 and 90.00 degrees. The inequivalent atoms are La at (0.000, 0.000, 0.000), Tb at (0.248, 0.341, 0.000), Er at (0.249, 0.656, 0.000) and Tm at (0.000, 0.500, 0.500).

The value obtained for the density of states at the Fermi level is 18.1 states/eV/cell. Its energy relative to the elements is 0.1665 eV per atom. For the magnetic moment, the calculation gives 0.00 μB/f.u. For the volume, the calculation gives 391.5 Å³ per cell.